[1]
Here is a relaxed MgCoCuS3 crystal from OQMD. Energies are from GGA-PBE.

Structure (POSCAR):
```
MgCoCuS3
1.0
1.7234 -5.7588 0.0000
1.7234 5.7588 0.0000
0.0000 0.0000 8.9602
S Mg Co Cu
6 2 2 2
direct
0.0835 0.9165 0.2500
0.3652 0.6348 0.4686
0.3652 0.6348 0.0314
0.6348 0.3652 0.5314
0.9165 0.0835 0.7500
0.6348 0.3652 0.9686
0.2500 0.7500 0.7500
0.7500 0.2500 0.2500
0.0000 0.0000 0.0000
0.0000 0.0000 0.5000
0.4511 0.5489 0.2500
0.5489 0.4511 0.7500
```

## Properties
Magnetic moment: 0.0 μB per formula unit
VASP energy: -54.43 eV per cell

=====

[2]
Here is a relaxed YHoNi crystal from OQMD. Energies are from GGA-PBE.

Structure (POSCAR):
```
YHoNi
1.0
0.2055 -0.3999 4.7101
-3.1560 2.2592 2.7060
-3.3195 -2.4531 2.3131
Y Ni Ho
1 1 1
direct
0.7500 0.7500 0.7500
0.0000 0.0000 0.0000
0.2500 0.2500 0.2500
```

## Properties
Magnetic moment: 0.0 μB per formula unit
VASP energy: -17.07 eV per cell
Energy of formation from the pure elements: -154 meV per atom

=====

[3]
Here is a relaxed RbPrTe3Au crystal from OQMD. Energies are from GGA-PBE.

Structure (POSCAR):
```
RbPrTe3Au
1.0
2.1871 -8.4960 0.0000
2.1871 8.4960 0.0000
0.0000 0.0000 11.5860
Pr Te Rb Au
2 6 2 2
direct
0.0000 0.0000 0.5000
0.0000 0.0000 0.0000
0.0752 0.9248 0.2500
0.6304 0.3696 0.9396
0.3696 0.6304 0.0604
0.9248 0.0752 0.7500
0.6304 0.3696 0.5604
0.3696 0.6304 0.4396
0.7518 0.2482 0.2500
0.2482 0.7518 0.7500
0.4693 0.5307 0.2500
0.5307 0.4693 0.7500
```

## Properties
Magnetic moment: 0.0 μB per formula unit
VASP energy: -48.01 eV per cell

=====

[4]
Here is a relaxed Pr2NdSi4Pd2Au2 crystal from OQMD. Energies are from GGA-PBE.

Structure (POSCAR):
```
Pr2NdSi4Pd2Au2
1.0
-2.1284 2.1425 12.3682
2.1284 -2.1425 12.3682
2.1284 2.1425 -12.3682
Si Pd Pr Nd Au
4 2 2 1 2
direct
0.4521 0.4521 0.0000
0.1983 0.6983 0.5000
0.8017 0.3017 0.5000
0.5479 0.5479 0.0000
0.7506 0.7506 0.0000
0.2494 0.2494 0.0000
0.6491 0.1491 0.5000
0.3509 0.8509 0.5000
0.0000 0.0000 0.0000
0.9026 0.4026 0.5000
0.0974 0.5974 0.5000
```

## Properties
Magnetic moment: 0.0 μB per formula unit
VASP energy: -62.44 eV per cell
Excess energy over the best structure of this formula in the dataset: 0.0 meV/atom

=====

[5]
Here is a relaxed NdFeTc crystal from OQMD. Energies are from GGA-PBE.

Structure (POSCAR):
```
NdFeTc
1.0
3.9677 0.4706 1.8553
0.6961 3.2201 2.9244
0.5705 -0.9767 4.2575
Nd Tc Fe
1 1 1
direct
0.2500 0.2500 0.2500
0.7500 0.7500 0.7500
0.0000 0.0000 0.0000
```

## Properties
Magnetic moment: 2.1 μB per formula unit
VASP energy: -21.37 eV per cell
Energy of formation from the pure elements: 687 meV per atom

=====

[6]
Here is a relaxed BeNi2Sb crystal from OQMD. Energies are from GGA-PBE.

Structure (POSCAR):
```
BeNi2Sb
1.0
2.4239 1.5241 3.0255
-1.4626 2.9473 2.5546
-0.8165 -0.9126 3.9815
Ni Be Sb
2 1 1
direct
0.7500 0.7500 0.7500
0.5000 0.5000 0.5000
0.0000 0.0000 0.0000
0.2500 0.2500 0.2500
```

## Properties
Magnetic moment: 0.0 μB per formula unit
VASP energy: -18.58 eV per cell
Excess energy over the best structure of this formula in the dataset: 0.0 meV/atom

=====

[7]
Here is a relaxed Tl3OsSe2S2 crystal from OQMD. Energies are from GGA-PBE.

Structure (POSCAR):
```
Tl3OsSe2S2
1.0
0.0000 5.6762 3.9233
5.3247 0.0000 3.9233
5.3247 5.6762 0.0000
Tl S Se Os
3 2 2 1
direct
0.5147 0.5147 0.4853
0.9575 0.9575 0.5425
0.4575 0.4575 0.0425
0.6801 0.0131 0.3199
0.0131 0.6801 0.9869
0.0132 0.3532 0.6468
0.3532 0.0133 0.9868
0.0106 0.0106 0.9894
```

## Properties
Magnetic moment: 0.0 μB per formula unit
VASP energy: -34.90 eV per cell

=====

[8]
Here is a relaxed La2DyP3 crystal from OQMD. Energies are from GGA-PBE.

Structure (POSCAR):
```
La2DyP3
1.0
-0.9323 3.9911 -0.8400
-3.0541 -2.7217 0.8769
0.8202 2.2866 9.9542
Dy P La
1 3 2
direct
0.0000 0.0000 0.5000
0.0000 0.0000 0.0000
0.6667 0.3333 0.6542
0.3333 0.6667 0.3458
0.3333 0.6667 0.8264
0.6667 0.3333 0.1736
```

## Properties
Magnetic moment: 0.0 μB per formula unit
VASP energy: -40.14 eV per cell